[1]
Na3TmPu2Te6 | the Alexandria database | PBE-GGA | optimized geometry; E_form (uncorrected) = -1.113 eV per atom; density of states at the Fermi level = 26.57 states/eV/cell; theoretical density = 6.38 Mg/m³; total moment = 10.0 μB per formula unit; total DFT energy (no corrections) = -5.775 eV per atom
1.0
3.8618 -6.6888 0.0000
3.8618 6.6888 0.0000
-2.5747 0.0000 7.5115
Na Tm Pu Te
3 1 2 6
Direct
0.0000 0.0000 0.0000
0.3321 0.6679 0.0000
0.6679 0.3321 0.0000
0.5000 0.5000 0.5000
0.1666 0.8334 0.5000
0.8334 0.1666 0.5000
0.0948 0.4224 0.2672
0.2500 0.2500 0.7326
0.4224 0.0948 0.2672
0.5776 0.9052 0.7328
0.7500 0.7500 0.2674
0.9052 0.5776 0.7328

=====

[2]
Cs3Na2Hg2Au4 | the Alexandria database | PBE-GGA | optimized geometry; DFT formation energy = -24 kJ/mol of atoms; density of states at the Fermi level = 4.05 states/eV/cell; theoretical density = 6.57 Mg/m³; total moment = 0.0 μB per formula unit; total DFT energy (no corrections) = -1.970 eV per atom
1.0
5.0204 0.0000 0.0000
-2.5102 4.3478 0.0000
0.0000 0.0000 18.9235
Cs Na Hg Au
3 2 2 4
Direct
0.0000 0.0000 0.0000
0.0000 0.0000 0.2678
0.0000 0.0000 0.7322
0.3333 0.6667 0.5572
0.6667 0.3333 0.4428
0.3333 0.6667 0.1353
0.6667 0.3333 0.8647
0.3333 0.6667 0.3983
0.3333 0.6667 0.8636
0.6667 0.3333 0.1364
0.6667 0.3333 0.6017

=====

[3]
Ti2SiNi | the Alexandria database | PBE-GGA | optimized geometry; E_form (uncorrected) = -0.131 eV per atom; density of states at the Fermi level = 8.21 states/eV/cell; theoretical density = 5.05 Mg/m³; total moment = 0.0 μB per formula unit; total DFT energy (no corrections) = -6.879 eV per atom
1.0
-3.4163 3.4163 2.5711
3.4163 -3.4163 2.5711
3.4163 3.4163 -2.5711
Ti Si Ni
4 2 2
Direct
0.1069 0.6250 0.9819
0.3750 0.3569 0.4819
0.6431 0.1250 0.0181
0.8750 0.8931 0.5181
0.2500 0.7500 0.5000
0.5000 0.5000 0.0000
0.0000 0.0000 0.0000
0.7500 0.2500 0.5000

=====

[4]
Pm3TeC | the Alexandria database | PBE-GGA | optimized geometry; E_form (uncorrected) = -0.447 eV per atom; density of states at the Fermi level = 10.59 states/eV/cell; theoretical density = 7.09 Mg/m³; energy above the most stable polymorph in this dataset = 247 meV/atom; total moment = 0.0 μB per formula unit; total DFT energy (no corrections) = -5.770 eV per atom
1.0
5.8756 -3.3918 0.0000
5.8756 3.3918 0.0000
-3.9339 0.0000 6.7575
Pm Te C
6 2 2
Direct
0.0797 0.5849 0.2477
0.0805 0.0805 0.2474
0.4151 0.9203 0.7523
0.5849 0.0797 0.2477
0.9195 0.9195 0.7526
0.9203 0.4151 0.7523
0.3870 0.3870 0.6594
0.6130 0.6130 0.3406
0.1682 0.1682 0.0046
0.8318 0.8318 0.9954

=====

[5]
ZnGe2Se | the Alexandria database | PBE-GGA | optimized geometry; E_form (uncorrected) = 0.088 eV per atom; density of states at the Fermi level = 0.10 states/eV/cell; theoretical density = 4.80 Mg/m³; energy above the most stable polymorph in this dataset = 0 meV/atom; total moment = 0.0 μB per formula unit; total DFT energy (no corrections) = -3.410 eV per atom
1.0
-2.9135 2.9135 5.9074
2.9135 -2.9135 5.9074
2.9135 2.9135 -5.9074
Zn Ge Se
2 4 2
Direct
0.0000 0.0000 0.0000
0.7500 0.2500 0.5000
0.1009 0.6250 0.9759
0.3750 0.3509 0.4759
0.6491 0.1250 0.0241
0.8750 0.8991 0.5241
0.2500 0.7500 0.5000
0.5000 0.5000 0.0000

=====

[6]
Tl2In5Sn4 | the Alexandria database | PBE-GGA | optimized geometry; DFT formation energy = 3 kJ/mol of atoms; density of states at the Fermi level = 4.52 states/eV/cell; theoretical density = 7.84 Mg/m³; energy above the most stable polymorph in this dataset = 0 meV/atom; total moment = 0.0 μB per formula unit; total DFT energy (no corrections) = -3.100 eV per atom
1.0
6.4662 0.0000 0.0000
0.5799 6.4716 0.0000
2.0689 3.0085 7.3825
Tl In Sn
2 5 4
Direct
0.1933 0.4088 0.3600
0.8067 0.5912 0.6400
0.0000 0.5000 0.0000
0.3383 0.3046 0.7409
0.4381 0.7766 0.9235
0.5619 0.2234 0.0765
0.6617 0.6954 0.2591
0.0890 0.9815 0.1928
0.2989 0.8418 0.5468
0.7011 0.1582 0.4532
0.9110 0.0185 0.8072